Entry 1:
# Tc2OsPb

Tc2OsPb at its PBEsol-relaxed geometry (SCAN, the Alexandria database).

Lattice parameters (Å, degrees): 2.8607 3.8349 5.9525 90.00 90.00 90.00
Element x y z (fractional)
Os: 0.0000 0.0000 0.4512
Tc: 0.5000 0.5000 0.2657
Tc: 0.0000 0.0000 0.0272
Pb: 0.5000 0.5000 0.7560

Its calculated density is 15.09 g/cm3. The value obtained for the energy of formation from the pure elements is 2.640 eV/f.u.

Entry 2:
# TaMnPt3

TaMnPt3 at its PBEsol-relaxed geometry (SCAN, the Alexandria database).

Lattice parameters (Å, degrees): 4.8002 4.8002 4.8002 90.00 90.00 90.00
Site moments in Bohr magnetons follow the coordinates.
Element x y z (fractional)
Pt: 0.5000 0.0000 0.0000  -0.01
Pt: 0.0000 0.0000 0.5000  -0.01
Ta: 0.0000 0.0000 0.0000  -0.06
Mn: 0.5000 0.5000 0.5000  4.60
Pt: 0.0000 0.5000 0.0000  -0.01

Its calculated density is 12.33 g/cm3. The value obtained for the energy of formation from the pure elements is 3.509 eV/f.u.

Entry 3:
# SrTl3

SrTl3 at its PBEsol-relaxed geometry (SCAN, the Alexandria database).

Lattice parameters (Å, degrees): 3.5608 6.3578 6.3578 116.60 100.76 100.76
Element x y z (fractional)
Tl: 0.0000 0.5000 0.5000
Tl: 0.5000 0.5000 0.0000
Sr: 0.0000 0.0000 0.0000
Tl: 0.5000 0.0000 0.5000

Its calculated density is 9.67 g/cm3. The value obtained for the energy of formation from the pure elements is -0.986 eV/f.u.

Entry 4:
# PrIn3

PrIn3 at its PBEsol-relaxed geometry (SCAN, the Alexandria database).

Lattice parameters (Å, degrees): 4.6479 4.6479 4.6479 90.00 90.00 90.00
Element x y z (fractional)
In: 0.5000 0.5000 0.0000
In: 0.5000 0.0000 0.5000
Pr: 0.0000 0.0000 0.0000
In: 0.0000 0.5000 0.5000

Its calculated density is 8.03 g/cm3. The value obtained for the energy of formation from the pure elements is -2.362 eV/f.u.

Entry 5:
# Ca2MgTc

Ca2MgTc at its PBEsol-relaxed geometry (SCAN, the Alexandria database).

Lattice parameters (Å, degrees): 4.5746 4.5746 5.3809 115.16 115.16 90.00
Site moments in Bohr magnetons follow the coordinates.
Element x y z (fractional)
Ca: 0.0000 0.0000 0.0000  -0.04
Tc: 0.2500 0.7500 0.5000  1.02
Mg: 0.5000 0.5000 0.0000  -0.02
Ca: 0.7500 0.2500 0.5000  -0.04

Its calculated density is 3.74 g/cm3. The value obtained for the energy of formation from the pure elements is 2.056 eV/f.u.

Entry 6:
# NaTeHI2

NaTeHI2 at its PBEsol-relaxed geometry (SCAN, the Alexandria database).

Lattice parameters (Å, degrees): 3.8966 5.8029 5.8029 90.00 90.00 90.00
Element x y z (fractional)
I: 0.0000 0.5000 0.0000
I: 0.0000 0.0000 0.5000
H: 0.0000 0.0000 0.0000
Te: 0.5000 0.0000 0.0000
Na: 0.5000 0.5000 0.5000

Its calculated density is 5.13 g/cm3. The uncorrected energy comes out at -119.00 eV/cell.

The records above yield spin magnetization values of 0.000, 0.948, 0.000, 0.000, 0.189, 0.000 μB per atom, respectively.